# Nd4Dy3Y

Nd4Dy3Y after structural relaxation (GGA-PBE, Alexandria via LeMat-Bulk).

POSCAR file:
```
Nd4Dy3Y
1.0
11.840 -1.756 0.000
11.840 1.756 0.000
-1.951 0.000 6.552
Nd Dy Y
4 3 1
direct
0.124 0.124 0.370
0.260 0.260 0.765
0.740 0.740 0.235
0.876 0.876 0.630
0.000 0.000 0.500
0.123 0.123 0.881
0.877 0.877 0.119
0.500 0.500 0.000
```

Values from the calculation:
* calculated formation energy: 0.161 eV per atom
* E above lowest polymorph: 0.1343 eV per atom
* D(E_F): 13.78 states/eV/f.u.
* ρ: 7.03 g cm⁻³
* calculated total energy: -4.76 eV/atom

---

# Nd3Dy3Y

Nd3Dy3Y after structural relaxation (GGA-PBE, Alexandria via LeMat-Bulk).

POSCAR file:
```
Nd3Dy3Y
1.0
4.325 -4.647 0.000
4.325 4.647 0.000
-4.217 0.000 11.668
Nd Dy Y
6 6 2
direct
0.004 0.630 0.711
0.198 0.198 0.815
0.370 0.996 0.289
0.630 0.004 0.711
0.802 0.802 0.185
0.996 0.370 0.289
0.172 0.828 0.500
0.188 0.812 0.000
0.380 0.380 0.576
0.620 0.620 0.424
0.812 0.188 0.000
0.828 0.172 0.500
0.388 0.388 0.122
0.612 0.612 0.878
```

Values from the calculation:
* calculated formation energy: 0.118 eV per atom
* E above lowest polymorph: 0.0974 eV per atom
* D(E_F): 9.86 states/eV/f.u.
* ρ: 7.15 g cm⁻³
* calculated total energy: -4.82 eV/atom

---

# NdDy2Y2

NdDy2Y2 after structural relaxation (GGA-PBE, Alexandria via LeMat-Bulk).

POSCAR file:
```
NdDy2Y2
1.0
9.406 0.000 0.000
0.000 9.406 0.000
0.000 0.000 3.759
Nd Dy Y
2 4 4
direct
0.000 0.000 0.000
0.500 0.500 0.000
0.125 0.375 0.000
0.375 0.875 0.000
0.625 0.125 0.000
0.875 0.625 0.000
0.172 0.672 0.500
0.328 0.172 0.500
0.672 0.828 0.500
0.828 0.328 0.500
```

Values from the calculation:
* calculated formation energy: 0.083 eV per atom
* E above lowest polymorph: 0.0000 eV per atom
* D(E_F): 5.37 states/eV/f.u.
* ρ: 6.46 g cm⁻³
* calculated total energy: -5.30 eV/atom

---

# Nd2Dy4Y7

Nd2Dy4Y7 after structural relaxation (GGA-PBE, Alexandria via LeMat-Bulk).

POSCAR file:
```
Nd2Dy4Y7
1.0
6.105 0.000 0.000
-3.052 5.287 0.000
0.000 0.000 13.397
Nd Dy Y
2 4 7
direct
0.333 0.667 0.000
0.667 0.333 0.000
0.000 0.000 0.396
0.000 0.000 0.604
0.333 0.667 0.500
0.667 0.333 0.500
0.000 0.000 0.000
0.000 0.354 0.217
0.000 0.646 0.783
0.354 0.000 0.217
0.354 0.354 0.783
0.646 0.000 0.783
0.646 0.646 0.217
```

Values from the calculation:
* calculated formation energy: 0.184 eV per atom
* D(E_F): 18.59 states/eV/f.u.
* ρ: 5.99 g cm⁻³
* calculated total energy: -5.45 eV/atom

---

# Nd2Dy9Y

Nd2Dy9Y after structural relaxation (GGA-PBE, Alexandria via LeMat-Bulk).

POSCAR file:
```
Nd2Dy9Y
1.0
5.047 0.000 0.000
0.000 5.047 0.000
0.000 0.000 15.141
Nd Dy Y
2 9 1
direct
0.000 0.000 0.167
0.000 0.000 0.833
0.000 0.500 0.000
0.000 0.500 0.335
0.000 0.500 0.665
0.500 0.000 0.000
0.500 0.000 0.335
0.500 0.000 0.665
0.500 0.500 0.168
0.500 0.500 0.500
0.500 0.500 0.832
0.000 0.000 0.500
```

Values from the calculation:
* calculated formation energy: 0.022 eV per atom
* E above lowest polymorph: 0.0000 eV per atom
* D(E_F): 17.57 states/eV/f.u.
* ρ: 7.92 g cm⁻³
* calculated total energy: -4.76 eV/atom

---

# NdDyY2

NdDyY2 after structural relaxation (GGA-PBE, Alexandria via LeMat-Bulk).

POSCAR file:
```
NdDyY2
1.0
1.806 1.043 11.627
-1.806 1.043 11.627
0.000 -2.086 11.627
Nd Dy Y
1 1 2
direct
0.000 0.000 0.000
0.166 0.166 0.166
0.581 0.581 0.581
0.751 0.751 0.751
```

Values from the calculation:
* calculated formation energy: 0.017 eV per atom
* E above lowest polymorph: 0.0021 eV per atom
* D(E_F): 5.90 states/eV/f.u.
* ρ: 6.12 g cm⁻³
* calculated total energy: -5.56 eV/atom

---

# NdDy8Y2

NdDy8Y2 after structural relaxation (GGA-PBE, Alexandria via LeMat-Bulk).

POSCAR file:
```
NdDy8Y2
1.0
-2.767 4.057 7.973
2.767 -4.057 7.973
2.767 4.057 -7.973
Nd Dy Y
1 8 2
direct
0.000 0.000 0.000
0.156 0.862 0.294
0.164 0.664 0.500
0.294 0.500 0.794
0.432 0.138 0.294
0.568 0.862 0.706
0.706 0.500 0.206
0.836 0.336 0.500
0.844 0.138 0.706
0.300 0.300 0.000
0.700 0.700 0.000
```

Values from the calculation:
* calculated formation energy: 0.117 eV per atom
* E above lowest polymorph: 0.0000 eV per atom
* D(E_F): 15.93 states/eV/f.u.
* ρ: 7.52 g cm⁻³
* calculated total energy: -4.84 eV/atom

---

# NdDy6Y3

NdDy6Y3 after structural relaxation (GGA-PBE, Alexandria via LeMat-Bulk).

POSCAR file:
```
NdDy6Y3
1.0
5.550 -9.519 0.000
5.550 9.519 0.000
0.000 0.000 6.174
Nd Dy Y
2 12 6
direct
0.207 0.793 0.500
0.793 0.207 0.000
0.039 0.461 0.723
0.047 0.953 0.277
0.283 0.717 0.992
0.288 0.382 0.885
0.382 0.288 0.385
0.461 0.039 0.223
0.539 0.961 0.723
0.618 0.712 0.885
0.712 0.618 0.385
0.717 0.283 0.492
0.953 0.047 0.777
0.961 0.539 0.223
0.063 0.281 0.315
0.281 0.063 0.815
0.390 0.610 0.423
0.610 0.390 0.923
0.719 0.937 0.315
0.937 0.719 0.815
```

Values from the calculation:
* calculated formation energy: 0.142 eV per atom
* E above lowest polymorph: 0.0000 eV per atom
* D(E_F): 14.29 states/eV/f.u.
* ρ: 7.06 g cm⁻³
* calculated total energy: -5.03 eV/atom